# InPt2Cl

A relaxed InPt2Cl crystal (GGA-PBE, the Alexandria database).

For the offset from the most stable computed form, the calculation gives 341 meV/atom. The electronic total energy is -3.931 eV/atom. For the formation energy without anion corrections, the calculation gives 0.24 eV/atom. As for the space group: No. 65.

CIF file:
```
data_InPt2Cl
_chemical_formula_sum 'In2 Pt4 Cl2'
_symmetry_space_group_name_H-M 'P 1'
_symmetry_Int_Tables_number 1
_cell_length_a 5.752
_cell_length_b 8.391
_cell_length_c 2.978
_cell_angle_alpha 90.00
_cell_angle_beta 90.00
_cell_angle_gamma 90.00
loop_
_symmetry_equiv_pos_as_xyz
'x,y,z'
loop_
_atom_site_label
_atom_site_type_symbol
_atom_site_fract_x
_atom_site_fract_y
_atom_site_fract_z
In1 In 0.000 0.000 0.000
In2 In 0.500 0.500 0.000
Pt1 Pt 0.250 0.250 0.500
Pt2 Pt 0.250 0.750 0.500
Pt3 Pt 0.750 0.250 0.500
Pt4 Pt 0.750 0.750 0.500
Cl1 Cl 0.000 0.500 0.000
Cl2 Cl 0.500 0.000 0.000
```

---

# DyFe4Ge2

A relaxed DyFe4Ge2 crystal (GGA-PBE, the Alexandria database).

For the offset from the most stable computed form, the calculation gives 22 meV/atom. The electronic total energy is -7.085 eV/atom. The calculation puts the energy relative to the elements at -0.273 eV/atom. As for the space group: No. 65.

CIF file:
```
data_DyFe4Ge2
_chemical_formula_sum 'Dy2 Fe8 Ge4'
_symmetry_space_group_name_H-M 'P 1'
_symmetry_Int_Tables_number 1
_cell_length_a 3.824
_cell_length_b 13.752
_cell_length_c 3.850
_cell_angle_alpha 90.00
_cell_angle_beta 90.00
_cell_angle_gamma 90.00
loop_
_symmetry_equiv_pos_as_xyz
'x,y,z'
loop_
_atom_site_label
_atom_site_type_symbol
_atom_site_fract_x
_atom_site_fract_y
_atom_site_fract_z
Dy1 Dy 0.000 0.000 0.000
Dy2 Dy 0.500 0.500 0.000
Fe1 Fe 0.000 0.197 0.500
Fe2 Fe 0.000 0.303 0.000
Fe3 Fe 0.000 0.697 0.000
Fe4 Fe 0.000 0.803 0.500
Fe5 Fe 0.500 0.197 0.000
Fe6 Fe 0.500 0.303 0.500
Fe7 Fe 0.500 0.697 0.500
Fe8 Fe 0.500 0.803 0.000
Ge1 Ge 0.000 0.406 0.500
Ge2 Ge 0.000 0.594 0.500
Ge3 Ge 0.500 0.094 0.500
Ge4 Ge 0.500 0.906 0.500
```

---

# Re3Se

A relaxed Re3Se crystal (GGA-PBE, the Alexandria database).

For the offset from the most stable computed form, the calculation gives 765 meV/atom. The electronic total energy is -9.135 eV/atom. For the formation energy without anion corrections, the calculation gives 1.07 eV/atom. As for the space group: No. 221.

CIF file:
```
data_Re3Se
_chemical_formula_sum 'Re3 Se1'
_symmetry_space_group_name_H-M 'P 1'
_symmetry_Int_Tables_number 1
_cell_length_a 3.965
_cell_length_b 3.965
_cell_length_c 3.965
_cell_angle_alpha 90.00
_cell_angle_beta 90.00
_cell_angle_gamma 90.00
loop_
_symmetry_equiv_pos_as_xyz
'x,y,z'
loop_
_atom_site_label
_atom_site_type_symbol
_atom_site_fract_x
_atom_site_fract_y
_atom_site_fract_z
Re1 Re 0.000 0.000 0.500
Re2 Re 0.000 0.500 0.000
Re3 Re 0.500 0.000 0.000
Se1 Se 0.500 0.500 0.500
```

---

# LaCeH

A relaxed LaCeH crystal (GGA-PBE, the Alexandria database).

For the offset from the most stable computed form, the calculation gives 177 meV/atom. The electronic total energy is -4.807 eV/atom. As for the space group: No. 107.

CIF file:
```
data_LaCeH
_chemical_formula_sum 'La2 Ce2 H2'
_symmetry_space_group_name_H-M 'P 1'
_symmetry_Int_Tables_number 1
_cell_length_a 3.377
_cell_length_b 3.377
_cell_length_c 11.779
_cell_angle_alpha 90.00
_cell_angle_beta 90.00
_cell_angle_gamma 90.00
loop_
_symmetry_equiv_pos_as_xyz
'x,y,z'
loop_
_atom_site_label
_atom_site_type_symbol
_atom_site_fract_x
_atom_site_fract_y
_atom_site_fract_z
La1 La 0.000 0.000 0.000
La2 La 0.500 0.500 0.500
Ce1 Ce 0.000 0.000 0.253
Ce2 Ce 0.500 0.500 0.753
H1 H 0.000 0.000 0.795
H2 H 0.500 0.500 0.295
```

---

# PrSm9Th2

A relaxed PrSm9Th2 crystal (GGA-PBE, the Alexandria database).

The electronic total energy is -5.137 eV/atom. The calculation puts the energy relative to the elements at 0.037 eV/atom. As for the space group: No. 123.

CIF file:
```
data_PrSm9Th2
_chemical_formula_sum 'Pr1 Sm9 Th2'
_symmetry_space_group_name_H-M 'P 1'
_symmetry_Int_Tables_number 1
_cell_length_a 5.123
_cell_length_b 5.123
_cell_length_c 15.378
_cell_angle_alpha 90.00
_cell_angle_beta 90.00
_cell_angle_gamma 90.00
loop_
_symmetry_equiv_pos_as_xyz
'x,y,z'
loop_
_atom_site_label
_atom_site_type_symbol
_atom_site_fract_x
_atom_site_fract_y
_atom_site_fract_z
Pr1 Pr 0.000 0.000 0.000
Sm1 Sm 0.000 0.500 0.171
Sm2 Sm 0.000 0.500 0.500
Sm3 Sm 0.000 0.500 0.829
Sm4 Sm 0.500 0.000 0.171
Sm5 Sm 0.500 0.000 0.500
Sm6 Sm 0.500 0.000 0.829
Sm7 Sm 0.500 0.500 0.000
Sm8 Sm 0.500 0.500 0.334
Sm9 Sm 0.500 0.500 0.666
Th1 Th 0.000 0.000 0.334
Th2 Th 0.000 0.000 0.666
```

---

# Ba2ThZnTe5

A relaxed Ba2ThZnTe5 crystal (GGA-PBE, the Alexandria database).

The electronic total energy is -4.439 eV/atom. For the formation energy without anion corrections, the calculation gives -1.30 eV/atom. As for the space group: No. 36.

CIF file:
```
data_Ba2ThZnTe5
_chemical_formula_sum 'Ba4 Th2 Zn2 Te10'
_symmetry_space_group_name_H-M 'P 1'
_symmetry_Int_Tables_number 1
_cell_length_a 10.480
_cell_length_b 10.480
_cell_length_c 14.208
_cell_angle_alpha 90.00
_cell_angle_beta 90.00
_cell_angle_gamma 154.57
loop_
_symmetry_equiv_pos_as_xyz
'x,y,z'
loop_
_atom_site_label
_atom_site_type_symbol
_atom_site_fract_x
_atom_site_fract_y
_atom_site_fract_z
Ba1 Ba 0.113 0.887 0.500
Ba2 Ba 0.120 0.880 0.136
Ba3 Ba 0.880 0.120 0.636
Ba4 Ba 0.887 0.113 0.000
Th1 Th 0.202 0.798 0.831
Th2 Th 0.798 0.202 0.331
Zn1 Zn 0.439 0.561 0.252
Zn2 Zn 0.561 0.439 0.752
Te1 Te 0.049 0.951 0.856
Te2 Te 0.293 0.707 0.481
Te3 Te 0.308 0.692 0.179
Te4 Te 0.353 0.647 0.820
Te5 Te 0.499 0.501 0.089
Te6 Te 0.501 0.499 0.589
Te7 Te 0.647 0.353 0.320
Te8 Te 0.692 0.308 0.679
Te9 Te 0.707 0.293 0.981
Te10 Te 0.951 0.049 0.356
```

---

# Ca2NbNiB

A relaxed Ca2NbNiB crystal (GGA-PBE, the Alexandria database).

The electronic total energy is -4.724 eV/atom. The calculation puts the energy relative to the elements at 0.583 eV/atom. As for the space group: No. 123.

CIF file:
```
data_Ca2NbNiB
_chemical_formula_sum 'Ca2 Nb1 Ni1 B1'
_symmetry_space_group_name_H-M 'P 1'
_symmetry_Int_Tables_number 1
_cell_length_a 5.111
_cell_length_b 5.111
_cell_length_c 4.278
_cell_angle_alpha 90.00
_cell_angle_beta 90.00
_cell_angle_gamma 90.00
loop_
_symmetry_equiv_pos_as_xyz
'x,y,z'
loop_
_atom_site_label
_atom_site_type_symbol
_atom_site_fract_x
_atom_site_fract_y
_atom_site_fract_z
Ca1 Ca 0.000 0.500 0.000
Ca2 Ca 0.500 0.000 0.000
Nb1 Nb 0.000 0.000 0.500
Ni1 Ni 0.500 0.500 0.500
B1 B 0.000 0.000 0.000
```

---

# RbFeP

A relaxed RbFeP crystal (GGA-PBE, the Alexandria database).

The electronic total energy is -5.146 eV/atom. The calculation puts the energy relative to the elements at -0.199 eV/atom. As for the space group: No. 139.

CIF file:
```
data_RbFeP
_chemical_formula_sum 'Rb4 Fe4 P4'
_symmetry_space_group_name_H-M 'P 1'
_symmetry_Int_Tables_number 1
_cell_length_a 3.679
_cell_length_b 3.679
_cell_length_c 23.654
_cell_angle_alpha 90.00
_cell_angle_beta 90.00
_cell_angle_gamma 90.00
loop_
_symmetry_equiv_pos_as_xyz
'x,y,z'
loop_
_atom_site_label
_atom_site_type_symbol
_atom_site_fract_x
_atom_site_fract_y
_atom_site_fract_z
Rb1 Rb 0.000 0.000 0.144
Rb2 Rb 0.000 0.000 0.856
Rb3 Rb 0.500 0.500 0.356
Rb4 Rb 0.500 0.500 0.644
Fe1 Fe 0.000 0.500 0.000
Fe2 Fe 0.000 0.500 0.500
Fe3 Fe 0.500 0.000 0.000
Fe4 Fe 0.500 0.000 0.500
P1 P 0.000 0.000 0.440
P2 P 0.000 0.000 0.560
P3 P 0.500 0.500 0.060
P4 P 0.500 0.500 0.940
```

---

# Ti2FeCoH

A relaxed Ti2FeCoH crystal (GGA-PBE, the Alexandria database).

For the offset from the most stable computed form, the calculation gives 13 meV/atom. The electronic total energy is -7.248 eV/atom. As for the space group: No. 123.

CIF file:
```
data_Ti2FeCoH
_chemical_formula_sum 'Ti2 Fe1 Co1 H1'
_symmetry_space_group_name_H-M 'P 1'
_symmetry_Int_Tables_number 1
_cell_length_a 4.083
_cell_length_b 4.083
_cell_length_c 3.276
_cell_angle_alpha 90.00
_cell_angle_beta 90.00
_cell_angle_gamma 90.00
loop_
_symmetry_equiv_pos_as_xyz
'x,y,z'
loop_
_atom_site_label
_atom_site_type_symbol
_atom_site_fract_x
_atom_site_fract_y
_atom_site_fract_z
Ti1 Ti 0.000 0.500 0.000
Ti2 Ti 0.500 0.000 0.000
Fe1 Fe 0.000 0.000 0.500
Co1 Co 0.500 0.500 0.500
H1 H 0.000 0.000 0.000
```

---

# Mn2H3Rh

A relaxed Mn2H3Rh crystal (GGA-PBE, the Alexandria database).

The electronic total energy is -5.973 eV/atom. As for the space group: No. 62.

CIF file:
```
data_Mn2H3Rh
_chemical_formula_sum 'Mn8 H12 Rh4'
_symmetry_space_group_name_H-M 'P 1'
_symmetry_Int_Tables_number 1
_cell_length_a 5.642
_cell_length_b 3.944
_cell_length_c 8.372
_cell_angle_alpha 90.00
_cell_angle_beta 90.00
_cell_angle_gamma 90.00
loop_
_symmetry_equiv_pos_as_xyz
'x,y,z'
loop_
_atom_site_label
_atom_site_type_symbol
_atom_site_fract_x
_atom_site_fract_y
_atom_site_fract_z
Mn1 Mn 0.118 0.250 0.075
Mn2 Mn 0.136 0.250 0.744
Mn3 Mn 0.364 0.750 0.244
Mn4 Mn 0.382 0.750 0.575
Mn5 Mn 0.618 0.250 0.425
Mn6 Mn 0.636 0.250 0.756
Mn7 Mn 0.864 0.750 0.256
Mn8 Mn 0.882 0.750 0.925
H1 H 0.093 0.750 0.098
H2 H 0.123 0.750 0.418
H3 H 0.132 0.750 0.749
H4 H 0.368 0.250 0.249
H5 H 0.377 0.250 0.918
H6 H 0.407 0.250 0.598
H7 H 0.593 0.750 0.402
H8 H 0.623 0.750 0.082
H9 H 0.632 0.750 0.751
H10 H 0.868 0.250 0.251
H11 H 0.877 0.250 0.582
H12 H 0.907 0.250 0.902
Rh1 Rh 0.117 0.250 0.407
Rh2 Rh 0.383 0.750 0.907
Rh3 Rh 0.617 0.250 0.093
Rh4 Rh 0.883 0.750 0.593
```

---

# TaTeBr2

A relaxed TaTeBr2 crystal (GGA-PBE, the Alexandria database).

For the offset from the most stable computed form, the calculation gives 471 meV/atom. The electronic total energy is -4.554 eV/atom. For the formation energy without anion corrections, the calculation gives 0.03 eV/atom. As for the space group: No. 6.

CIF file:
```
data_TaTeBr2
_chemical_formula_sum 'Ta1 Te1 Br2'
_symmetry_space_group_name_H-M 'P 1'
_symmetry_Int_Tables_number 1
_cell_length_a 3.280
_cell_length_b 4.699
_cell_length_c 7.532
_cell_angle_alpha 90.00
_cell_angle_beta 95.60
_cell_angle_gamma 90.00
loop_
_symmetry_equiv_pos_as_xyz
'x,y,z'
loop_
_atom_site_label
_atom_site_type_symbol
_atom_site_fract_x
_atom_site_fract_y
_atom_site_fract_z
Ta1 Ta 0.000 0.000 0.000
Te1 Te 0.880 0.500 0.267
Br1 Br 0.048 0.500 0.862
Br2 Br 0.461 0.000 0.711
```